No. 1
! PuCu4 | Alexandria via LeMat-Bulk | PBE | relaxed; values from VASP
! * calculated density: 6448 kg/m3
! * E_form: 1.64 eV/atom
! * magnetic moment: 1.10 μB/atom
! * final energy: -4.51 eV/atom
&SYSTEM
  ibrav = 0, nat = 5, ntyp = 2
/
ATOMIC_SPECIES
Cu 63.55 Cu.upf
Pu 244.00 Pu.upf
CELL_PARAMETERS angstrom
5.044 0.000 0.000
0.000 5.044 0.000
0.000 0.000 5.044
ATOMIC_POSITIONS crystal
Cu 0.000 0.000 0.000
Cu 0.500 0.000 0.500
Cu 0.000 0.500 0.500
Cu 0.500 0.500 0.000
Pu 0.500 0.500 0.500

***

No. 2
! Re2Pt | Alexandria via LeMat-Bulk | PBE | relaxed; values from VASP
! * ΔE to the lowest computed polymorph: 0.560 eV per atom
! * calculated density: 19461 kg/m3
! * E_form: 0.47 eV/atom
! * magnetic moment: 0.00 μB/atom
! * final energy: -9.84 eV/atom
&SYSTEM
  ibrav = 0, nat = 6, ntyp = 2
/
ATOMIC_SPECIES
Re 186.21 Re.upf
Pt 195.08 Pt.upf
CELL_PARAMETERS angstrom
-1.191 -3.115 3.930
-3.929 1.177 3.122
-4.332 -2.790 -0.144
ATOMIC_POSITIONS crystal
Re 0.125 0.625 0.125
Re 0.125 0.125 0.625
Re 0.625 0.125 0.125
Re 0.125 0.125 0.125
Pt 0.750 0.750 0.750
Pt 0.500 0.500 0.500

***

No. 3
! Pm5Pr6Er2 | Alexandria via LeMat-Bulk | PBE | relaxed; values from VASP
! * calculated density: 6929 kg/m3
! * E_form: 0.09 eV/atom
! * magnetic moment: 0.00 μB/atom
! * final energy: -4.64 eV/atom
&SYSTEM
  ibrav = 0, nat = 26, ntyp = 3
/
ATOMIC_SPECIES
Pm 145.00 Pm.upf
Pr 140.91 Pr.upf
Er 167.26 Er.upf
CELL_PARAMETERS angstrom
-2.153 2.755 -1.091
-5.274 -7.199 -7.774
-14.222 -5.338 14.592
ATOMIC_POSITIONS crystal
Pm 0.500 0.303 0.444
Pm 0.500 0.697 0.556
Pm 0.500 0.803 0.056
Pm 0.500 0.197 0.944
Pm 0.500 0.589 0.273
Pm 0.500 0.411 0.727
Pm 0.500 0.089 0.227
Pm 0.500 0.911 0.773
Pm 0.500 0.500 0.000
Pm 0.500 0.000 0.500
Pr 0.000 0.084 0.368
Pr 0.000 0.916 0.632
Pr 0.000 0.584 0.132
Pr 0.000 0.416 0.868
Pr 0.500 0.327 0.139
Pr 0.500 0.673 0.861
Pr 0.500 0.827 0.361
Pr 0.500 0.173 0.639
Pr 0.000 0.563 0.419
Pr 0.000 0.437 0.581
Pr 0.000 0.063 0.081
Pr 0.000 0.937 0.919
Er 0.000 0.332 0.290
Er 0.000 0.668 0.710
Er 0.000 0.832 0.210
Er 0.000 0.168 0.790

***

No. 4
! KTa2Os | Alexandria via LeMat-Bulk | PBE | relaxed; values from VASP
! * ΔE to the lowest computed polymorph: 0.640 eV per atom
! * calculated density: 12931 kg/m3
! * E_form: 1.22 eV/atom
! * magnetic moment: 0.00 μB/atom
! * final energy: -7.79 eV/atom
&SYSTEM
  ibrav = 0, nat = 4, ntyp = 3
/
ATOMIC_SPECIES
K 39.10 K.upf
Os 190.23 Os.upf
Ta 180.95 Ta.upf
CELL_PARAMETERS angstrom
-3.106 -0.521 -4.771
4.822 -3.194 0.492
-1.044 -2.402 0.656
ATOMIC_POSITIONS crystal
K 0.000 0.500 0.500
Os 0.500 0.500 0.000
Ta 0.000 0.000 0.000
Ta 0.500 0.000 0.500

***

No. 5
! CdWCl2 | Alexandria via LeMat-Bulk | PBE | relaxed; values from VASP
! * ΔE to the lowest computed polymorph: 0.047 eV per atom
! * formation energy (no corrections): -0.026 eV/atom
! * calculated density: 7044 kg/m3
! * magnetic moment: 0.00 μB/atom
! * final energy: -4.42 eV/atom
&SYSTEM
  ibrav = 0, nat = 4, ntyp = 3
/
ATOMIC_SPECIES
Cl 35.45 Cl.upf
W 183.84 W.upf
Cd 112.41 Cd.upf
CELL_PARAMETERS angstrom
-2.208 4.691 9.292
-3.118 1.830 10.008
-0.151 2.627 10.310
ATOMIC_POSITIONS crystal
Cl 0.890 0.890 0.890
Cl 0.110 0.110 0.110
W 0.500 0.500 0.500
Cd 0.000 0.000 0.000

***

No. 6
! CePu6Tl5 | Alexandria via LeMat-Bulk | PBE | relaxed; values from VASP
! * calculated density: 13412 kg/m3
! * E_form: 0.05 eV/atom
! * magnetic moment: 0.95 μB/atom
! * final energy: -8.60 eV/atom
&SYSTEM
  ibrav = 0, nat = 12, ntyp = 3
/
ATOMIC_SPECIES
Tl 204.38 Tl.upf
Ce 140.12 Ce.upf
Pu 244.00 Pu.upf
CELL_PARAMETERS angstrom
-0.126 3.143 -3.518
8.742 -2.490 -2.539
-7.053 -5.423 -1.420
ATOMIC_POSITIONS crystal
Tl 0.663 0.163 0.327
Tl 0.337 0.337 0.674
Tl 0.000 0.500 0.000
Tl 0.663 0.663 0.326
Tl 0.337 0.837 0.673
Ce 0.000 0.000 0.000
Pu 0.826 0.579 0.653
Pu 0.827 0.074 0.653
Pu 0.500 0.758 0.000
Pu 0.500 0.242 0.000
Pu 0.173 0.926 0.347
Pu 0.174 0.421 0.347

***

- The lowest final energy belongs to which entry?
  Re2Pt